[1]
Crystalline NdHfPt6 at its relaxed geometry, computed with GGA-PBE.

abc: 4.116 4.116 8.232
angles: 90.00 90.00 90.00
Fractional coordinates of all 8 atoms:
Nd 0.000 0.000 0.000
Hf 0.000 0.000 0.500
Pt 0.000 0.500 0.265
Pt 0.000 0.500 0.735
Pt 0.500 0.000 0.265
Pt 0.500 0.000 0.735
Pt 0.500 0.500 0.000
Pt 0.500 0.500 0.500

Output
Mass density in g/cm3: 17.8
Density of states at the Fermi level in states/eV per atom: 0.3239
Uncorrected energy in eV/atom: -7.37
Energy relative to the elements in kJ/mol of atoms: -96.8
Space-group type: P4/mmm

=====

[2]
Crystalline Sn3Au5Cl12 at its relaxed geometry, computed with GGA-PBE.

abc: 14.085 14.085 14.085
angles: 109.47 109.47 109.47
Fractional coordinates of all 80 atoms:
Sn 0.125 0.250 0.375
Sn 0.125 0.375 0.750
Sn 0.250 0.375 0.125
Sn 0.250 0.875 0.625
Sn 0.375 0.125 0.250
Sn 0.375 0.750 0.125
Sn 0.625 0.250 0.875
Sn 0.625 0.875 0.750
Sn 0.750 0.125 0.375
Sn 0.750 0.625 0.875
Sn 0.875 0.625 0.250
Sn 0.875 0.750 0.625
Au 0.000 0.000 0.000
Au 0.000 0.000 0.500
Au 0.000 0.500 0.000
Au 0.000 0.500 0.500
Au 0.125 0.750 0.875
Au 0.125 0.875 0.250
Au 0.250 0.125 0.875
Au 0.250 0.625 0.375
Au 0.375 0.250 0.625
Au 0.375 0.625 0.750
Au 0.500 0.000 0.000
Au 0.500 0.000 0.500
Au 0.500 0.500 0.000
Au 0.500 0.500 0.500
Au 0.625 0.375 0.250
Au 0.625 0.750 0.375
Au 0.750 0.375 0.625
Au 0.750 0.875 0.125
Au 0.875 0.125 0.750
Au 0.875 0.250 0.125
Cl 0.043 0.217 0.129
Cl 0.043 0.326 0.913
Cl 0.087 0.629 0.413
Cl 0.087 0.717 0.674
Cl 0.087 0.871 0.413
Cl 0.087 0.957 0.674
Cl 0.129 0.043 0.217
Cl 0.129 0.587 0.913
Cl 0.174 0.217 0.587
Cl 0.174 0.457 0.587
Cl 0.217 0.129 0.043
Cl 0.217 0.587 0.174
Cl 0.283 0.326 0.913
Cl 0.283 0.457 0.371
Cl 0.326 0.913 0.043
Cl 0.326 0.913 0.283
Cl 0.371 0.283 0.457
Cl 0.371 0.587 0.913
Cl 0.413 0.087 0.629
Cl 0.413 0.087 0.871
Cl 0.413 0.826 0.543
Cl 0.413 0.826 0.783
Cl 0.457 0.371 0.283
Cl 0.457 0.587 0.174
Cl 0.543 0.413 0.826
Cl 0.543 0.629 0.717
Cl 0.587 0.174 0.217
Cl 0.587 0.174 0.457
Cl 0.587 0.913 0.129
Cl 0.587 0.913 0.371
Cl 0.629 0.413 0.087
Cl 0.629 0.717 0.543
Cl 0.674 0.087 0.717
Cl 0.674 0.087 0.957
Cl 0.717 0.543 0.629
Cl 0.717 0.674 0.087
Cl 0.783 0.413 0.826
Cl 0.783 0.871 0.957
Cl 0.826 0.543 0.413
Cl 0.826 0.783 0.413
Cl 0.871 0.413 0.087
Cl 0.871 0.957 0.783
Cl 0.913 0.043 0.326
Cl 0.913 0.129 0.587
Cl 0.913 0.283 0.326
Cl 0.913 0.371 0.587
Cl 0.957 0.674 0.087
Cl 0.957 0.783 0.871

Output
Mass density in g/cm3: 5.5
Density of states at the Fermi level in states/eV per atom: 0.7883
Uncorrected energy in eV/atom: -2.90
Formation energy without anion corrections in eV per atom: -0.371
Space-group type: Ia-3d

=====

[3]
Crystalline Mn4Ni15Pd at its relaxed geometry, computed with GGA-PBE.

abc: 3.581 3.581 17.954
angles: 90.00 90.00 90.00
Fractional coordinates of all 20 atoms:
Mn 0.000 0.000 0.099
Mn 0.000 0.000 0.297
Mn 0.000 0.000 0.703
Mn 0.000 0.000 0.901
Ni 0.000 0.500 0.000
Ni 0.000 0.500 0.198
Ni 0.000 0.500 0.396
Ni 0.000 0.500 0.604
Ni 0.000 0.500 0.802
Ni 0.500 0.000 0.000
Ni 0.500 0.000 0.198
Ni 0.500 0.000 0.396
Ni 0.500 0.000 0.604
Ni 0.500 0.000 0.802
Ni 0.500 0.500 0.099
Ni 0.500 0.500 0.297
Ni 0.500 0.500 0.500
Ni 0.500 0.500 0.703
Ni 0.500 0.500 0.901
Pd 0.000 0.000 0.500

Output
Mass density in g/cm3: 8.7
Density of states at the Fermi level in states/eV per atom: 1.1119
Uncorrected energy in eV/atom: -6.50
Energy relative to the elements in kJ/mol of atoms: -7.1
Space-group type: P4/mmm

=====

Question: Which value of mass density does entry 1 give?
Answer: 17.8 g/cm3